# Nb3SbBr PBE-GGA optimized geometry
# Relative energy among the computed polymorphs: 3.187 eV/f.u.
# Raw formation energy: 1.5930 eV/atom
# ρ: 5.89 g/cm3
data_Nb3SbBr
_chemical_formula_sum 'Nb3 Sb1 Br1'
_cell_length_a 5.137
_cell_length_b 5.137
_cell_length_c 5.137
_cell_angle_alpha 90.00
_cell_angle_beta 90.00
_cell_angle_gamma 90.00
_symmetry_space_group_name_H-M 'P m -3 m'
_symmetry_Int_Tables_number 221
_symmetry_space_group_name_Hall '-P 4 2 3'
loop_
_atom_site_label
_atom_site_type_symbol
_atom_site_fract_x
_atom_site_fract_y
_atom_site_fract_z
Nb1 Nb 0.000 0.000 0.500
Sb1 Sb 0.000 0.000 0.000
Br1 Br 0.500 0.500 0.500

# NbSbTe2Br PBE-GGA optimized geometry
# Relative energy among the computed polymorphs: 0.000 eV/f.u.
# Raw formation energy: 0.0758 eV/atom
# ρ: 5.82 g/cm3
data_NbSbTe2Br
_chemical_formula_sum 'Nb1 Sb1 Te2 Br1'
_cell_length_a 5.329
_cell_length_b 5.329
_cell_length_c 5.519
_cell_angle_alpha 90.00
_cell_angle_beta 90.00
_cell_angle_gamma 90.00
_symmetry_space_group_name_H-M 'P 4/m m m'
_symmetry_Int_Tables_number 123
_symmetry_space_group_name_Hall '-P 4 2'
loop_
_atom_site_label
_atom_site_type_symbol
_atom_site_fract_x
_atom_site_fract_y
_atom_site_fract_z
Nb1 Nb 0.000 0.000 0.000
Sb1 Sb 0.000 0.000 0.500
Te1 Te 0.000 0.500 0.000
Br1 Br 0.500 0.500 0.500

# NbSbTe2Br PBE-GGA optimized geometry
# Relative energy among the computed polymorphs: 6.698 eV/f.u.
# Raw formation energy: 1.4154 eV/atom
# ρ: 5.76 g/cm3
data_NbSbTe2Br
_chemical_formula_sum 'Nb1 Sb1 Te2 Br1'
_cell_length_a 5.468
_cell_length_b 5.468
_cell_length_c 5.300
_cell_angle_alpha 90.00
_cell_angle_beta 90.00
_cell_angle_gamma 90.00
_symmetry_space_group_name_H-M 'P 4/m m m'
_symmetry_Int_Tables_number 123
_symmetry_space_group_name_Hall '-P 4 2'
loop_
_atom_site_label
_atom_site_type_symbol
_atom_site_fract_x
_atom_site_fract_y
_atom_site_fract_z
Nb1 Nb 0.000 0.000 0.000
Sb1 Sb 0.500 0.500 0.000
Te1 Te 0.000 0.500 0.500
Br1 Br 0.500 0.500 0.500

| no. | DFT total energy (hartree per atom) |
| --- | --- |
| 1 | -0.20609 |
| 2 | -0.16000 |
| 3 | -0.11077 |